[1]
Here is a relaxed K2CoP2H6O8 crystal from OQMD. Energies are from GGA+U.

Values from the calculation:
Magnetization in μB per cell: 3.00
VASP energy in eV per cell: -106.3
Space group: No. 12

Cell: 6.7381 6.7381 7.2329 Å, 113.83 113.83 46.17°
Last column: nearest neighbours and their distance in Å.
Positions (direct):
K  0.1643  0.1643  0.2910  6 O 2.64-2.85, 2 H 2.82
K  0.8357  0.8357  0.7090  6 O 2.64-2.85, 2 H 2.82
Co  0.5000  0.5000  0.5000  6 O 2.07-2.18
P  0.1516  0.1516  0.7512  1 H 1.42, 3 O 1.53-1.54
P  0.8484  0.8484  0.2488  1 H 1.42, 3 O 1.53-1.54
H  0.2736  0.2736  0.9002  1 P 1.42
H  0.3204  0.6235  0.1458  1 O 0.99
H  0.3765  0.6796  0.8542  1 O 0.99
H  0.6235  0.3204  0.1458  1 O 0.99
H  0.6796  0.3765  0.8542  1 O 0.99
H  0.7264  0.7264  0.0998  1 P 1.42
O  0.0761  0.0761  0.8725  1 P 1.54
O  0.1011  0.6240  0.3784  1 P 1.53
O  0.3760  0.8989  0.6216  1 P 1.53
O  0.4800  0.4800  0.7845  2 H 0.99
O  0.5200  0.5200  0.2155  2 H 0.99
O  0.6240  0.1011  0.3784  1 P 1.53
O  0.8989  0.3760  0.6216  1 P 1.53
O  0.9239  0.9239  0.1275  1 P 1.54



[2]
Here is a relaxed K2CoP2H14O14 crystal from OQMD. Energies are from GGA+U.

Values from the calculation:
Magnetization in μB per cell: 6.00
VASP energy in eV per cell: -361.7
Space group: No. 14

Cell: 5.8860 12.1286 8.6131 Å, 90.00 107.17 90.00°
Last column: nearest neighbours and their distance in Å.
Positions (direct):
K  0.1159  0.1201  0.3439  7 O 2.68-2.81, 3 H 2.70-2.86
K  0.1159  0.3799  0.8439  7 O 2.68-2.81, 3 H 2.70-2.86
K  0.8841  0.6201  0.1561  7 O 2.68-2.81, 3 H 2.70-2.86
K  0.8841  0.8799  0.6561  7 O 2.68-2.81, 3 H 2.70-2.86
Co  0.5000  0.0000  0.0000  6 O 2.02-2.25
Co  0.5000  0.5000  0.5000  6 O 2.02-2.25
P  0.2382  0.6496  0.9327  4 O 1.53-1.61
P  0.2382  0.8504  0.4327  4 O 1.53-1.61
P  0.7618  0.1496  0.5673  4 O 1.53-1.61
P  0.7618  0.3504  0.0673  4 O 1.53-1.61
H  0.0721  0.1182  0.7767  1 O 1.01
H  0.0721  0.3818  0.2767  1 O 1.01
H  0.1333  0.5416  0.5674  1 O 0.99
H  0.1333  0.9584  0.0674  1 O 0.99
H  0.1454  0.6485  0.4683  1 O 1.05
H  0.1454  0.8515  0.9683  1 O 1.05
H  0.4205  0.1542  0.7355  1 O 1.01
H  0.4205  0.3458  0.2355  1 O 1.01
H  0.4221  0.2047  0.9091  1 O 1.00
H  0.4221  0.2953  0.4091  1 O 1.00
H  0.4355  0.5817  0.2125  1 O 1.04
H  0.4355  0.9183  0.7125  1 O 1.04
H  0.4838  0.1796  0.1501  1 O 1.00
H  0.4838  0.3204  0.6501  1 O 1.00
H  0.5162  0.6796  0.3499  1 O 1.00
H  0.5162  0.8204  0.8499  1 O 1.00
H  0.5645  0.0817  0.2875  1 O 1.04
H  0.5645  0.4183  0.7875  1 O 1.04
H  0.5779  0.7047  0.5909  1 O 1.00
H  0.5779  0.7953  0.0909  1 O 1.00
H  0.5795  0.6542  0.7645  1 O 1.01
H  0.5795  0.8458  0.2645  1 O 1.01
H  0.8546  0.1485  0.0317  1 O 1.05
H  0.8546  0.3515  0.5317  1 O 1.05
H  0.8667  0.0416  0.9326  1 O 0.99
H  0.8667  0.4584  0.4326  1 O 0.99
H  0.9279  0.6182  0.7233  1 O 1.01
H  0.9279  0.8818  0.2233  1 O 1.01
O  0.0742  0.7392  0.9640  1 H 1.42, 1 P 1.53
O  0.0742  0.7608  0.4640  1 H 1.42, 1 P 1.53
O  0.1027  0.5993  0.7570  1 H 1.01
O  0.1027  0.9007  0.2570  1 H 1.01
O  0.1717  0.5630  0.4677  2 H 0.99-1.05
O  0.1717  0.9370  0.9677  2 H 0.99-1.05
O  0.2733  0.5542  0.0532  1 H 1.46, 1 P 1.53
O  0.2733  0.9458  0.5532  1 H 1.46, 1 P 1.53
O  0.3602  0.1426  0.8324  2 H 1.00-1.01
O  0.3602  0.3574  0.3324  2 H 1.00-1.01
O  0.4449  0.1026  0.1758  2 H 1.00-1.04
O  0.4449  0.3974  0.6758  2 H 1.00-1.04
O  0.4786  0.6969  0.9231  1 P 1.55, 2 H 1.66-1.72
O  0.4786  0.8031  0.4231  1 P 1.55, 2 H 1.66-1.72
O  0.5214  0.1969  0.5769  1 P 1.55, 2 H 1.66-1.72
O  0.5214  0.3031  0.0769  1 P 1.55, 2 H 1.66-1.72
O  0.5551  0.6026  0.3242  2 H 1.00-1.04
O  0.5551  0.8974  0.8242  2 H 1.00-1.04
O  0.6398  0.6426  0.6676  2 H 1.00-1.01
O  0.6398  0.8574  0.1676  2 H 1.00-1.01
O  0.7267  0.0542  0.4468  1 H 1.46, 1 P 1.53
O  0.7267  0.4458  0.9468  1 H 1.46, 1 P 1.53
O  0.8283  0.0630  0.0323  2 H 0.99-1.05
O  0.8283  0.4370  0.5323  2 H 0.99-1.05
O  0.8973  0.0993  0.7430  1 H 1.01
O  0.8973  0.4007  0.2430  1 H 1.01
O  0.9258  0.2392  0.5360  1 H 1.42, 1 P 1.53
O  0.9258  0.2608  0.0360  1 H 1.42, 1 P 1.53



[3]
Here is a relaxed K2CoH4Se2O10 crystal from OQMD. Energies are from GGA+U.

Values from the calculation:
Magnetization in μB per cell: 1.00
VASP energy in eV per cell: -97.5
Space group: No. 2

Cell: 5.5141 6.4042 7.2567 Å, 110.09 96.91 105.43°
Last column: nearest neighbours and their distance in Å.
Positions (direct):
K  0.2179  0.3215  0.2393  7 O 2.66-2.86
K  0.7821  0.6785  0.7607  7 O 2.66-2.86
Co  0.5000  0.0000  0.5000  6 O 2.07-2.10
H  0.3476  0.8492  0.1058  1 O 0.99
H  0.3599  0.0106  0.8157  1 O 1.00
H  0.6401  0.9894  0.1843  1 O 1.00
H  0.6524  0.1508  0.8942  1 O 0.99
Se  0.1381  0.3068  0.7279  4 O 1.65-1.69
Se  0.8619  0.6932  0.2721  4 O 1.65-1.69
O  0.1014  0.1145  0.8380  1 Se 1.67, 1 H 1.73
O  0.1375  0.7430  0.4324  1 Se 1.68
O  0.2336  0.5813  0.8957  1 Se 1.65, 1 H 1.75
O  0.3631  0.2817  0.5910  1 Se 1.69
O  0.4688  0.0000  0.2086  2 H 0.99-1.00
O  0.5312  0.0000  0.7914  2 H 0.99-1.00
O  0.6369  0.7183  0.4090  1 Se 1.69
O  0.7664  0.4187  0.1043  1 Se 1.65, 1 H 1.75
O  0.8625  0.2570  0.5676  1 Se 1.68
O  0.8986  0.8855  0.1620  1 Se 1.67, 1 H 1.73